# Ac5PmRu3

An optimized crystal structure of Ac5PmRu3 (PBE, the Alexandria database).

Cell: 6.926 4.378 20.741 Å, 90.00 91.39 90.00°
Space group P2/m (No. 10)
Inequivalent atoms, fractional coordinates:
Ac 0.180 0.000 0.404 (multiplicity 2)
Ac 0.222 0.000 0.063 (multiplicity 2)
Ac 0.272 0.500 0.892 (multiplicity 2)
Ac 0.305 0.500 0.235 (multiplicity 2)
Ac 0.318 0.500 0.573 (multiplicity 2)
Pm 0.197 0.000 0.733 (multiplicity 2)
Ru 0.000 0.500 0.000 (multiplicity 1)
Ru 0.008 0.500 0.669 (multiplicity 2)
Ru 0.493 0.000 0.834 (multiplicity 2)
Ru 0.500 0.000 0.500 (multiplicity 1)

Computed properties:
- Calculated formation energy: -0.173 eV per atom

# ZnTcCl2

An optimized crystal structure of ZnTcCl2 (PBE, the Alexandria database).

Cell: 6.763 6.763 6.763 Å, 90.00 90.00 90.00°
Space group F-43m (No. 216)
Inequivalent atoms, fractional coordinates:
Zn 0.000 0.000 0.000 (multiplicity 4)
Tc 0.250 0.250 0.750 (multiplicity 4)
Cl 0.000 0.000 0.500 (multiplicity 4)
Cl 0.250 0.250 0.250 (multiplicity 4)

Computed properties:
- Energy relative to the elements, uncorrected: 0.6747 eV/atom
- Polymorph energy (0 for the lowest one): 924 meV per atom

# Hf4CoPt

An optimized crystal structure of Hf4CoPt (PBE, the Alexandria database).

Cell: 5.715 6.166 6.990 Å, 90.00 107.48 90.00°
Space group P2_1/m (No. 11)
Inequivalent atoms, fractional coordinates:
Hf 0.014 0.002 0.240 (multiplicity 4)
Hf 0.404 0.750 0.078 (multiplicity 2)
Hf 0.418 0.750 0.628 (multiplicity 2)
Co 0.229 0.250 0.049 (multiplicity 2)
Pt 0.246 0.250 0.571 (multiplicity 2)

Computed properties:
- Calculated formation energy: -0.494 eV per atom
- Polymorph energy (0 for the lowest one): 4 meV per atom

# TaCrIr2

An optimized crystal structure of TaCrIr2 (PBE, the Alexandria database).

Cell: 2.788 2.788 7.526 Å, 90.00 90.00 90.00°
Space group P4/mmm (No. 123)
Inequivalent atoms, fractional coordinates:
Ta 0.000 0.000 0.000 (multiplicity 1)
Cr 0.000 0.000 0.500 (multiplicity 1)
Ir 0.500 0.500 0.273 (multiplicity 2)

Computed properties:
- Calculated formation energy: -0.364 eV per atom
- Polymorph energy (0 for the lowest one): 74 meV per atom

# RhSeBr2

An optimized crystal structure of RhSeBr2 (PBE, the Alexandria database).

Cell: 3.6349 3.6349 24.5184 Å, 90.00 90.00 120.00°
Space group R-3m (No. 166, hexagonal axes)
Inequivalent atoms, fractional coordinates:
Rh 0.0000 0.0000 0.0000 (multiplicity 3)
Se 0.0000 0.0000 0.5000 (multiplicity 3)
Br 0.0000 0.0000 0.2743 (multiplicity 6)

Computed properties:
- Energy relative to the elements, uncorrected: 0.2602 eV/atom
- Polymorph energy (0 for the lowest one): 516 meV per atom

# Pr4Si2Hg

An optimized crystal structure of Pr4Si2Hg (PBE, the Alexandria database).

Cell: 5.0573 5.0573 28.1536 Å, 90.00 90.00 120.00°
Space group R-3m (No. 166, hexagonal axes)
Inequivalent atoms, fractional coordinates:
Pr 0.0000 0.0000 0.1179 (multiplicity 6)
Pr 0.0000 0.0000 0.2941 (multiplicity 6)
Si 0.0000 0.0000 0.4045 (multiplicity 6)
Hg 0.0000 0.0000 0.5000 (multiplicity 3)

Computed properties:
- Energy relative to the elements, uncorrected: -0.3375 eV/atom

# CdN2F

An optimized crystal structure of CdN2F (PBE, the Alexandria database).

Cell: 3.5785 3.5785 15.9906 Å, 90.00 90.00 120.00°
Space group R-3m (No. 166, hexagonal axes)
Inequivalent atoms, fractional coordinates:
Cd 0.0000 0.0000 0.0000 (multiplicity 3)
N 0.0000 0.0000 0.3902 (multiplicity 6)
F 0.0000 0.0000 0.5000 (multiplicity 3)

Computed properties:
- Energy relative to the elements, uncorrected: 1.3953 eV/atom
- Polymorph energy (0 for the lowest one): 2014 meV per atom

# AlFeAs2

An optimized crystal structure of AlFeAs2 (PBE, the Alexandria database).

Cell: 2.9699 2.9699 26.4962 Å, 90.00 90.00 120.00°
Space group R-3m (No. 166, hexagonal axes)
Inequivalent atoms, fractional coordinates:
Al 0.0000 0.0000 0.0000 (multiplicity 3)
Fe 0.0000 0.0000 0.5000 (multiplicity 3)
As 0.0000 0.0000 0.2323 (multiplicity 6)

Computed properties:
- Calculated formation energy: 0.104 eV per atom

Let's list final energy in order: -0.447 -0.232 -0.685 -0.747 -0.241 -0.343 -0.255 -0.387 Ry/atom.